! KBr2, relaxed, DFT PBE; values from VASP
! N(E_F) in states/eV/cell: 0.90
! ΔE_f (raw) in eV per atom: -1.03
! Energy relative to the lowest polymorph listed for this composition in meV per atom: 122
&SYSTEM
  ibrav = 0, nat = 6, ntyp = 2
/
ATOMIC_SPECIES
Br 79.90 Br.upf
K 39.10 K.upf
ATOMIC_POSITIONS angstrom
Br -0.668 -3.843 5.409
Br -1.353 -2.434 13.531
Br -0.203 -0.365 2.027
Br -0.263 -3.114 1.355
K -0.778 -1.399 7.779
K -3.200 -0.575 3.631
CELL_PARAMETERS angstrom
1.957 -4.303 7.530
-3.512 1.505 8.028
-2.111 -1.254 -8.545